# CeTiO

An optimized crystal structure of CeTiO (PBE-GGA, the Alexandria database).

Cell lengths 5.7460, 5.7460, 5.7460 Å; angles 90.00, 90.00, 90.00 degrees
With the nearest neighbours (Å) after each atom.
Atoms (fractional coordinates):
Ti1 0.8511 0.3511 0.1489  3 O 2.17
Ti2 0.3511 0.1489 0.8511  3 O 2.17
Ti3 0.1489 0.8511 0.3511  3 O 2.17
Ce1 0.6695 0.8305 0.1695  4 O 2.58-2.86
Ce2 0.8305 0.1695 0.6695  4 O 2.58-2.86
O1 0.4567 0.9567 0.5433  3 Ti 2.17
Ti4 0.6489 0.6489 0.6489  3 O 2.17
Ce3 0.1695 0.6695 0.8305  4 O 2.58-2.86
Ce4 0.3305 0.3305 0.3305  4 O 2.58-2.86
O2 0.5433 0.4567 0.9567  3 Ti 2.17
O3 0.9567 0.5433 0.4567  3 Ti 2.17
O4 0.0433 0.0433 0.0433  3 Ti 2.17

Calculated values
- N(E_F) (states/eV/f.u.) = 2.91
- VASP energy (eV per atom) = -7.644